(1)
VASP calculation (PBE) on a relaxed AcCdGa2Au crystal.

a b c (Å): 4.4521 4.5428 6.6013
angles (deg): 110.13 109.71 90.00
Sites, in units of the cell vectors:
1 Ga 0.0552 0.0552 0.1103
2 Ga 0.6957 0.1957 0.3914
3 Ac 0.4434 0.4434 0.8868
4 Au 0.8324 0.8324 0.6648
5 Cd 0.1855 0.6855 0.3710

For the formation enthalpy at 0 K, the calculation gives -0.54 eV per atom. For the raw total energy, the calculation gives -3.41 eV/atom. The space group is Imm2, No. 44. As for the size of the total moment: 0.0 μB/f.u.

***

(2)
VASP calculation (PBE) on a relaxed La3Zr5S12 crystal.

a b c (Å): 13.7443 13.7443 13.7443
angles (deg): 109.47 109.47 109.47
Sites, in units of the cell vectors:
1 S 0.2126 0.5355 0.6223
2 S 0.5355 0.2126 0.1223
3 S 0.8230 0.9098 0.2874
4 S 0.3230 0.7874 0.4098
5 S 0.3230 0.5355 0.4132
6 S 0.4098 0.2874 0.3230
7 S 0.7874 0.3230 0.9098
8 S 0.5355 0.3230 0.9132
9 S 0.9132 0.0902 0.8777
10 S 0.7126 0.1223 0.0355
11 S 0.8777 0.5902 0.9132
12 S 0.9132 0.8230 0.5355
13 S 0.2126 0.6770 0.0902
14 S 0.9645 0.5868 0.1770
15 S 0.0868 0.9098 0.1223
16 S 0.0868 0.1770 0.4645
17 S 0.0355 0.6223 0.7126
18 S 0.5868 0.6223 0.4098
19 S 0.0355 0.4132 0.8230
20 S 0.6223 0.5868 0.9098
21 S 0.1223 0.7126 0.5355
22 S 0.8230 0.9132 0.0355
23 S 0.5902 0.8777 0.4132
24 S 0.6223 0.0355 0.2126
25 S 0.7126 0.5902 0.1770
26 S 0.9098 0.0868 0.6223
27 S 0.3777 0.9645 0.7874
28 S 0.5868 0.9645 0.6770
29 S 0.4645 0.6770 0.0868
30 S 0.7874 0.4645 0.3777
31 S 0.8777 0.2874 0.4645
32 S 0.5902 0.7126 0.6770
33 S 0.1770 0.0868 0.9645
34 S 0.9098 0.8230 0.7874
35 S 0.4645 0.7874 0.8777
36 S 0.1223 0.4098 0.0868
37 S 0.0902 0.1770 0.2126
38 S 0.3777 0.4132 0.0902
39 S 0.6770 0.4645 0.5868
40 S 0.9645 0.3777 0.2874
41 S 0.2874 0.8777 0.9645
42 S 0.0902 0.9132 0.3777
43 S 0.2874 0.4098 0.8230
44 S 0.1770 0.0902 0.7126
45 S 0.4132 0.0355 0.3230
46 S 0.4098 0.1223 0.5868
47 S 0.6770 0.2126 0.5902
48 S 0.4132 0.3777 0.5902
49 La 0.8750 0.1250 0.2500
50 La 0.8750 0.7500 0.1250
51 La 0.1250 0.8750 0.7500
52 La 0.6250 0.2500 0.3750
53 La 0.7500 0.8750 0.6250
54 La 0.3750 0.6250 0.2500
55 La 0.2500 0.6250 0.8750
56 La 0.7500 0.3750 0.1250
57 La 0.1250 0.2500 0.8750
58 La 0.3750 0.7500 0.6250
59 La 0.6250 0.3750 0.7500
60 La 0.2500 0.1250 0.3750
61 Zr 0.1250 0.3750 0.2500
62 Zr 0.0000 0.0000 0.5000
63 Zr 0.0000 0.5000 0.5000
64 Zr 0.0000 0.0000 0.0000
65 Zr 0.3750 0.1250 0.7500
66 Zr 0.6250 0.7500 0.8750
67 Zr 0.5000 0.0000 0.5000
68 Zr 0.7500 0.1250 0.8750
69 Zr 0.3750 0.2500 0.1250
70 Zr 0.5000 0.5000 0.0000
71 Zr 0.5000 0.0000 0.0000
72 Zr 0.2500 0.8750 0.1250
73 Zr 0.6250 0.8750 0.2500
74 Zr 0.0000 0.5000 0.0000
75 Zr 0.5000 0.5000 0.5000
76 Zr 0.2500 0.3750 0.6250
77 Zr 0.8750 0.6250 0.7500
78 Zr 0.7500 0.6250 0.3750
79 Zr 0.1250 0.7500 0.3750
80 Zr 0.8750 0.2500 0.6250

For the raw total energy, the calculation gives -6.95 eV/atom. The space group is Ia-3d, No. 230. The value obtained for the formation energy without anion corrections is -1594 meV/atom. As for the size of the total moment: 1.4 μB/f.u.

***

(3)
VASP calculation (PBE) on a relaxed DyZnAgSn crystal.

a b c (Å): 4.9471 4.9471 4.9471
angles (deg): 60.00 60.00 60.00
Sites, in units of the cell vectors:
1 Ag 0.5000 0.5000 0.5000
2 Dy 0.7500 0.7500 0.7500
3 Zn 0.0000 0.0000 0.0000
4 Sn 0.2500 0.2500 0.2500

For the formation enthalpy at 0 K, the calculation gives -0.30 eV per atom. For the raw total energy, the calculation gives -3.48 eV/atom. The space group is F-43m, No. 216. As for the size of the total moment: 0.0 μB/f.u.

***

| no. | theoretical density (g cm⁻³) |
| --- | --- |
| 1 | 9.592 |
| 2 | 4.179 |
| 3 | 8.815 |